! YFe3 SCAN single point on PBEsol structure; values from VASP
! Formation energy from the elements ... 0.542 eV per atom
! Symmetry ... R-3m
! Final energy ... -80.1 eV/cell
&SYSTEM
  ibrav = 0, nat = 4, ntyp = 2
/
ATOMIC_SPECIES
Y 88.91 Y.upf
Fe 55.84 Fe.upf
ATOMIC_POSITIONS crystal
Y 0.000 0.000 0.000
Fe 0.237 0.237 0.237
Fe 0.500 0.500 0.500
Fe 0.763 0.763 0.763
CELL_PARAMETERS angstrom
1.426 0.823 8.465
-1.426 0.823 8.465
0.000 -1.647 8.465